# 1
# Cu2MoRu

A relaxed Cu2MoRu crystal (PBE, Alexandria via LeMat-Bulk).

* ΔH_f (0 K): 0.254 eV per atom
* total moment: 0.000 μB/atom
* total DFT energy (no corrections): -6.82 eV per atom

POSCAR file:
```
Cu2MoRu
1.0
-0.9473 -3.8296 -2.6205
1.2160 -2.6438 -3.7366
2.7027 -3.0115 2.0386
Cu Mo Ru
2 1 1
direct
0.9983 0.9983 0.0017 Cu
0.5017 0.5017 0.4983 Cu
0.7500 0.7500 0.7500 Mo
0.2500 0.2500 0.2500 Ru
```

=====

# 2
# CuMoRu2

A relaxed CuMoRu2 crystal (PBE, Alexandria via LeMat-Bulk).

* ΔH_f (0 K): 0.133 eV per atom
* total moment: 0.000 μB/atom
* relative energy among the computed polymorphs: 0 meV/atom
* total DFT energy (no corrections): -8.24 eV per atom

POSCAR file:
```
CuMoRu2
1.0
-0.1397 -4.2801 0.4182
-2.4059 -2.3468 -2.6867
1.8862 -2.5117 -2.9407
Ru Mo Cu
2 1 1
direct
0.2500 0.2500 0.2500 Ru
0.7500 0.7500 0.7500 Ru
0.5000 0.5000 0.5000 Mo
0.0000 0.0000 0.0000 Cu
```

=====

# 3
# CuMoRu2

A relaxed CuMoRu2 crystal (PBE, Alexandria via LeMat-Bulk).

* ΔH_f (0 K): 0.250 eV per atom
* total moment: 0.000 μB/atom
* relative energy among the computed polymorphs: 117 meV/atom
* total DFT energy (no corrections): -8.12 eV per atom

POSCAR file:
```
CuMoRu2
1.0
-3.5766 -2.4897 -0.4860
0.6684 -1.3835 2.1688
-2.4601 2.9472 3.0070
Cu Mo Ru
1 1 2
direct
0.5000 0.2500 0.2500 Cu
0.5000 0.7500 0.7500 Mo
0.0000 0.0058 0.0169 Ru
0.0000 0.4942 0.4831 Ru
```

=====

# 4
# Cu2MoRu

A relaxed Cu2MoRu crystal (PBE, Alexandria via LeMat-Bulk).

* ΔH_f (0 K): 0.233 eV per atom
* total moment: 0.000 μB/atom
* total DFT energy (no corrections): -6.84 eV per atom

POSCAR file:
```
Cu2MoRu
1.0
-2.1306 0.4823 3.4352
-0.3163 -2.6378 0.1742
3.9029 -2.9724 2.8380
Cu Mo Ru
2 1 1
direct
0.0000 0.0015 0.9981 Cu
0.0000 0.4985 0.5019 Cu
0.5000 0.2500 0.2500 Mo
0.5000 0.7500 0.7500 Ru
```

=====

# 5
# Cu2MoRu

A relaxed Cu2MoRu crystal (PBE, Alexandria via LeMat-Bulk).

* ΔH_f (0 K): 0.317 eV per atom
* total moment: 0.124 μB/atom
* total DFT energy (no corrections): -6.76 eV per atom

POSCAR file:
```
Cu2MoRu
1.0
9.0293 -0.0052 -0.0030
8.6361 2.6354 -0.0030
8.6361 1.2858 2.3005
Cu Mo Ru
2 1 1
direct
0.0014 0.0014 0.0014 Cu
0.4986 0.4986 0.4986 Cu
0.2500 0.2500 0.2500 Mo
0.7500 0.7500 0.7500 Ru
```

=====

# 6
# Cu2MoRu

A relaxed Cu2MoRu crystal (PBE, Alexandria via LeMat-Bulk).

* ΔH_f (0 K): 0.214 eV per atom
* total moment: 0.000 μB/atom
* total DFT energy (no corrections): -6.86 eV per atom

POSCAR file:
```
Cu2MoRu
1.0
-2.1308 -3.6740 -1.7191
-1.0626 -4.4078 0.6606
-4.1517 0.5629 2.0371
Cu Mo Ru
2 1 1
direct
0.0015 0.0015 0.9775 Cu
0.7457 0.7457 0.7732 Cu
0.4970 0.4970 0.4838 Mo
0.2559 0.2559 0.2655 Ru
```

=====

# 7
# Cu2MoRu

A relaxed Cu2MoRu crystal (PBE, Alexandria via LeMat-Bulk).

* ΔH_f (0 K): 0.175 eV per atom
* total moment: 0.000 μB/atom
* total DFT energy (no corrections): -6.90 eV per atom

POSCAR file:
```
Cu2MoRu
1.0
2.7685 0.0000 0.0000
0.0000 3.6806 0.0000
0.0000 0.0000 5.3666
Cu Mo Ru
2 1 1
direct
0.0000 0.0000 0.0169 Cu
0.5000 0.5000 0.2315 Cu
0.0000 0.0000 0.5078 Mo
0.5000 0.5000 0.7437 Ru
```

=====

# 8
# CuMoRu

A relaxed CuMoRu crystal (PBE, Alexandria via LeMat-Bulk).

* ΔH_f (0 K): 0.093 eV per atom
* total moment: 0.000 μB/atom
* relative energy among the computed polymorphs: 0 meV/atom
* total DFT energy (no corrections): -7.97 eV per atom

POSCAR file:
```
CuMoRu
1.0
-3.8826 1.1363 2.2728
-0.4151 -1.1164 4.4848
2.5349 2.2904 -3.1401
Cu Mo Ru
1 1 1
direct
0.9982 0.9982 0.0000 Cu
0.6665 0.6665 0.0000 Mo
0.3353 0.3353 0.0000 Ru
```

=====

# 9
# CuMoRu2

A relaxed CuMoRu2 crystal (PBE, Alexandria via LeMat-Bulk).

* ΔH_f (0 K): 0.340 eV per atom
* total moment: 0.176 μB/atom
* relative energy among the computed polymorphs: 207 meV/atom
* total DFT energy (no corrections): -8.03 eV per atom

POSCAR file:
```
CuMoRu2
1.0
-2.8237 -1.4708 0.0025
1.3415 -2.5777 -1.3009
1.0647 -2.0353 5.1310
Cu Mo Ru
1 1 2
direct
0.0000 0.0000 0.4961 Cu
0.5000 0.5000 0.7377 Mo
0.0000 0.0000 0.9823 Ru
0.5000 0.5000 0.2839 Ru
```

=====

# 10
# CuMoRu2

A relaxed CuMoRu2 crystal (PBE, Alexandria via LeMat-Bulk).

* ΔH_f (0 K): 0.674 eV per atom
* total moment: 0.000 μB/atom
* relative energy among the computed polymorphs: 540 meV/atom
* total DFT energy (no corrections): -7.70 eV per atom

POSCAR file:
```
CuMoRu2
1.0
-0.4237 6.6452 1.4504
-4.3923 -1.3769 5.0253
-0.3412 2.3865 4.9765
Ru Mo Cu
4 2 2
direct
0.6468 0.1250 0.2500 Ru
0.1032 0.6250 0.2500 Ru
0.3750 0.3532 0.7500 Ru
0.8750 0.8968 0.7500 Ru
0.0000 0.0000 0.0000 Mo
0.7500 0.2500 0.5000 Mo
0.5000 0.5000 0.0000 Cu
0.2500 0.7500 0.5000 Cu
```

=====

# 11
# Cu2MoRu

A relaxed Cu2MoRu crystal (PBE, Alexandria via LeMat-Bulk).

* ΔH_f (0 K): 0.266 eV per atom
* total moment: 0.000 μB/atom
* total DFT energy (no corrections): -6.81 eV per atom

POSCAR file:
```
Cu2MoRu
1.0
4.7863 -0.0005 -0.0379
-2.1837 4.2591 -0.0379
0.0186 0.0305 2.6648
Cu Mo Ru
2 1 1
direct
0.0000 0.0000 0.0000 Cu
0.5000 0.5000 0.0000 Cu
0.5000 0.0000 0.5000 Mo
0.0000 0.5000 0.5000 Ru
```

=====

# 12
# CuMoRu2

A relaxed CuMoRu2 crystal (PBE, Alexandria via LeMat-Bulk).

* ΔH_f (0 K): 0.400 eV per atom
* total moment: 0.107 μB/atom
* relative energy among the computed polymorphs: 267 meV/atom
* total DFT energy (no corrections): -7.97 eV per atom

POSCAR file:
```
CuMoRu2
1.0
-1.2960 1.1159 -2.0104
0.2224 -2.6229 -0.1941
-7.7905 -0.9914 4.4717
Cu Mo Ru
1 1 2
direct
0.0000 0.0000 0.4980 Cu
0.5000 0.5000 0.7492 Mo
0.0000 0.0000 0.0005 Ru
0.5000 0.5000 0.2523 Ru
```